[1]
# Zn2Mo PBE optimized geometry
# Energy of formation   118 meV/atom
# Density of states at the Fermi level   6.6 states/eV/cell
data_Zn2Mo
_cell_length_a 10.346
_cell_length_b 2.660
_cell_length_c 6.773
_cell_angle_alpha 90.00
_cell_angle_beta 103.71
_cell_angle_gamma 90.00
_space_group_name_H-M_alt 'C 1 m 1'
_space_group_IT_number 8
loop_
_space_group_symop_operation_xyz
'x,y,z'
'x,-y,z'
'x+1/2,y+1/2,z'
'x+1/2,-y+1/2,z'
loop_
_atom_site_label
_atom_site_fract_x
_atom_site_fract_y
_atom_site_fract_z
Zn1 0.000 0.000 0.000
Zn2 0.051 0.000 0.617
Zn3 0.227 0.500 0.961
Zn4 0.397 0.000 0.290
Mo1 0.168 0.500 0.334
Mo2 0.326 0.000 0.671

[2]
# KSi2Ag PBE optimized geometry
# E_tot   -12.54 eV for the cell shown
# Density of states at the Fermi level   2.0 states/eV/cell
data_KSi2Ag
_cell_length_a 5.706
_cell_length_b 2.791
_cell_length_c 5.823
_cell_angle_alpha 90.00
_cell_angle_beta 118.85
_cell_angle_gamma 90.00
_space_group_name_H-M_alt 'P 1 2/m 1'
_space_group_IT_number 10
loop_
_space_group_symop_operation_xyz
'x,y,z'
'-x,-y,-z'
'-x,y,-z'
'x,-y,z'
loop_
_atom_site_label
_atom_site_fract_x
_atom_site_fract_y
_atom_site_fract_z
K1 0.000 0.000 0.000
Si1 0.000 0.500 0.500
Si2 0.500 0.500 0.500
Ag1 0.500 0.000 0.000

[3]
# TaMnOs2 PBE optimized geometry
# Energy of formation   -12 meV/atom
# Density of states at the Fermi level   3.9 states/eV/cell
data_TaMnOs2
_cell_length_a 2.765
_cell_length_b 2.765
_cell_length_c 7.553
_cell_angle_alpha 90.00
_cell_angle_beta 90.00
_cell_angle_gamma 90.00
_space_group_name_H-M_alt 'P 4/m m m'
_space_group_IT_number 123
_space_group_name_Hall '-P 4 2'
loop_
_atom_site_label
_atom_site_fract_x
_atom_site_fract_y
_atom_site_fract_z
Ta1 0.000 0.000 0.000
Mn1 0.000 0.000 0.500
Os1 0.500 0.500 0.282

[4]
# Ba2HoHgSe5 PBE optimized geometry
# E_tot   -156.50 eV for the cell shown
# Density of states at the Fermi level   25.0 states/eV/cell
data_Ba2HoHgSe5
_cell_length_a 4.302
_cell_length_b 19.188
_cell_length_c 13.300
_cell_angle_alpha 90.00
_cell_angle_beta 90.00
_cell_angle_gamma 90.00
_space_group_name_H-M_alt 'C m c 21'
_space_group_IT_number 36
loop_
_space_group_symop_operation_xyz
'x,y,z'
'-x,-y,z+1/2'
'-x,y,z'
'x,-y,z+1/2'
'x+1/2,y+1/2,z'
'-x+1/2,-y+1/2,z+1/2'
'-x+1/2,y+1/2,z'
'x+1/2,-y+1/2,z+1/2'
loop_
_atom_site_label
_atom_site_fract_x
_atom_site_fract_y
_atom_site_fract_z
Ba1 0.000 0.119 0.000
Ba2 0.000 0.132 0.626
Ho1 0.000 0.207 0.323
Hg1 0.000 0.458 0.755
Se1 0.000 0.056 0.372
Se2 0.000 0.293 0.967
Se3 0.000 0.308 0.678
Se4 0.000 0.353 0.317
Se5 0.000 0.495 0.073

| no. | calculated density (g cm⁻³) | V (A^3/atom) |
| --- | --- | --- |
| 1 | 8.32 | 15.1 |
| 2 | 4.15 | 20.3 |
| 3 | 17.72 | 14.4 |
| 4 | 6.26 | 30.5 |